## w
PBE Ac2CuNi2, relaxed; magnetic moment = 0.00 μB/atom
1.0
5.7351 0.0000 0.0000
-2.8675 4.8510 0.0891
0.0000 -2.0948 7.8453
Ac Cu Ni
4 2 4
Direct
0.5127 0.3015 0.1508
0.2112 0.6985 0.3492
0.4873 0.6985 0.8492
0.7888 0.3015 0.6508
0.8644 0.0000 0.2500
0.1356 0.0000 0.7500
0.7404 0.7416 0.4940
0.9988 0.2584 0.0060
0.2596 0.2584 0.5060
0.0012 0.7416 0.9940

---

## x
PBE Ac2CuNi2, relaxed; magnetic moment = 0.00 μB/atom
1.0
7.6169 0.0000 0.0000
0.0000 7.6168 0.0000
0.0000 0.0000 7.9764
Ac Cu Ni
8 4 8
Direct
0.6838 0.8163 0.5000
0.3162 0.1837 0.5000
0.8162 0.3163 0.0000
0.1838 0.6837 0.0000
0.8163 0.3162 0.5000
0.1837 0.6838 0.5000
0.3163 0.1838 0.0000
0.6837 0.8162 0.0000
0.5000 0.5000 0.2502
0.0000 0.0000 0.7502
0.5000 0.5000 0.7498
0.0000 0.0000 0.2498
0.3862 0.8862 0.2500
0.6138 0.1138 0.2500
0.1138 0.3862 0.7500
0.8862 0.6138 0.7500
0.8862 0.6138 0.2500
0.1138 0.3862 0.2500
0.3862 0.8862 0.7500
0.6138 0.1138 0.7500

---

Which structure is the most stable? The one labeled w.